(1)
Below is an optimized crystal structure of SmErScCd, with properties calculated at the GGA-PBE level.

Computed properties:
Energy of formation from the pure elements: -46.3 kJ/mol of formula units
Calculated total energy: -0.1563 Ha/atom

a = 3.536 Å, b = 3.536 Å, c = 8.851 Å
α = 90.00°, β = 90.00°, γ = 90.00°
Space group P4mm (No. 99)
Asymmetric unit:
Sm1 0.000 0.000 0.000 [1 per cell]
Er1 0.000 0.000 0.516 [1 per cell]
Sc1 0.500 0.500 0.263 [1 per cell]
Cd1 0.500 0.500 0.749 [1 per cell]

(2)
Below is an optimized crystal structure of LaDy14Ho, with properties calculated at the GGA-PBE level.

Computed properties:
Energy of formation from the pure elements: 10.0 kJ/mol of formula units
Calculated total energy: -0.1696 Ha/atom

a = 11.498 Å, b = 7.143 Å, c = 12.362 Å
α = 90.00°, β = 90.00°, γ = 90.00°
Space group Amm2 (No. 38)
Asymmetric unit:
La1 0.000 0.000 0.000 [2 per cell]
Dy1 0.000 0.250 0.250 [4 per cell]
Dy2 0.250 0.000 0.667 [4 per cell]
Dy3 0.253 0.000 0.167 [4 per cell]
Dy4 0.253 0.249 0.417 [8 per cell]
Dy5 0.500 0.000 0.334 [2 per cell]
Dy6 0.500 0.000 0.833 [2 per cell]
Dy7 0.500 0.249 0.584 [4 per cell]
Ho1 0.000 0.000 0.500 [2 per cell]

- Look up the energy of formation from the pure elements of the second one.
  10.0 kJ/mol of formula units